# 1
The following is a SCAN calculation of a crystal of YTaTe2I relaxed with PBEsol, from Alexandria via LeMat-Bulk.

Summary:
- VASP energy: -40.524 eV/atom
- ρ: 5.9 g cm⁻³
- ΔE_f (raw): 0.61 eV/atom
- Fermi-level density of states: 1.14 states/eV/atom
- Symmetry: P4/mmm (123)
- Magnetization: 3.0 μB per formula unit

```
YTaTe2I
1.0
5.741 0.000 0.000
0.000 5.741 0.000
0.000 0.000 5.589
Y Ta Te I
1 1 2 1
direct
0.000 0.000 0.000 Y
0.500 0.500 0.500 Ta
0.000 0.500 0.000 Te
0.500 0.000 0.000 Te
0.000 0.000 0.500 I
```



# 2
The following is a SCAN calculation of a crystal of MgReSi2 relaxed with PBEsol, from Alexandria via LeMat-Bulk.

Summary:
- VASP energy: -24.088 eV/atom
- ρ: 7.2 g cm⁻³
- ΔE_f (raw): -0.06 eV/atom
- Fermi-level density of states: 0.27 states/eV/atom
- Symmetry: P4/mmm (123)
- Magnetization: 0.0 μB per formula unit

```
MgReSi2
1.0
3.085 0.000 0.000
0.000 3.085 0.000
0.000 0.000 6.437
Mg Re Si
1 1 2
direct
0.000 0.000 0.000 Mg
0.000 0.000 0.500 Re
0.500 0.500 0.296 Si
0.500 0.500 0.704 Si
```



# 3
The following is a SCAN calculation of a crystal of GaHgS2 relaxed with PBEsol, from Alexandria via LeMat-Bulk.

Summary:
- VASP energy: -26.209 eV/atom
- ρ: 6.6 g cm⁻³
- ΔE_f (raw): -0.27 eV/atom
- Fermi-level density of states: 0.36 states/eV/atom
- Symmetry: R-3m (166)
- Magnetization: 0.0 μB per formula unit

```
GaHgS2
1.0
1.762 1.017 7.823
-1.762 1.017 7.823
0.000 -2.034 7.823
Ga Hg S
1 1 2
direct
0.000 0.000 0.000 Ga
0.500 0.500 0.500 Hg
0.390 0.390 0.390 S
0.610 0.610 0.610 S
```



# 4
The following is a SCAN calculation of a crystal of LiAgAu2 relaxed with PBEsol, from Alexandria via LeMat-Bulk.

Summary:
- VASP energy: -43.330 eV/atom
- ρ: 13.2 g cm⁻³
- Fermi-level density of states: 0.24 states/eV/atom
- Energy above the most stable polymorph in this dataset: 0.0622 eV/atom
- DFT formation energy: -0.31 eV per atom
- Symmetry: Fm-3m (225)
- Magnetization: 0.0 μB per formula unit

```
LiAgAu2
1.0
0.000 3.178 3.178
3.178 0.000 3.178
3.178 3.178 0.000
Li Ag Au
1 1 2
direct
0.000 0.000 0.000 Li
0.500 0.500 0.500 Ag
0.250 0.250 0.250 Au
0.750 0.750 0.750 Au
```